(1)
Computed, not measured: Ba2YSbO6 after structural relaxation at the PBE-GGA level of DFT.

Cell lengths 9.3687, 9.3687, 9.3687 Å; angles 90.00, 90.00, 90.00 degrees
Last column: nearest neighbours and their distance in Å.
Space group Fm-3m (No. 225)
One atom of each set of equivalent atoms:
1 Ba 0.2500 0.2500 0.2500 x8  6 O 2.34
2 Y 0.0000 0.0000 0.0000 x4  12 O 3.31
3 Sb 0.0000 0.0000 0.5000 x4  12 O 3.31
4 O 0.0000 0.2500 0.2500 x24  2 Ba 2.34

## Properties
crystal system: cubic

(2)
Computed, not measured: Ba2YSbO6 after structural relaxation at the PBE-GGA level of DFT.

Cell lengths 6.0317, 6.0317, 14.7633 Å; angles 90.00, 90.00, 120.00 degrees
Last column: nearest neighbours and their distance in Å.
Space group R-3 (No. 148, hexagonal axes)
One atom of each set of equivalent atoms:
1 Ba 0.0000 0.0000 0.2501 x6  12 O 2.94-3.10
2 Y 0.0000 0.0000 0.0000 x3  6 O 2.25
3 Sb 0.0000 0.0000 0.5000 x3  6 O 2.02
4 O 0.0181 0.5224 0.2456 x18  1 Sb 2.02, 1 Y 2.25

## Properties
crystal system: trigonal

(3)
Computed, not measured: Ba3YSb2O8 after structural relaxation at the PBE-GGA level of DFT.

Cell lengths 6.1719, 6.1719, 8.0787 Å; angles 90.00, 90.00, 120.00 degrees
Last column: nearest neighbours and their distance in Å.
Space group P-3m1 (No. 164)
One atom of each set of equivalent atoms:
1 Ba 0.0000 0.0000 0.0000 x1  12 O 3.22-3.59
2 Ba 0.3333 0.6667 0.6380 x2  1 O 2.45
3 Y 0.0000 0.0000 0.5000 x1  6 O 2.26
4 Sb 0.3333 0.6667 0.1977 x2  4 O 2.07
5 O 0.1683 0.3366 0.3312 x6  1 Sb 2.07, 1 Y 2.26
6 O 0.3333 0.6667 0.9418 x2  1 Sb 2.07

## Properties
crystal system: trigonal

(4)
Computed, not measured: Ba3ZnSb2O9 after structural relaxation at the PBE-GGA level of DFT.

Cell lengths 5.9429, 5.9429, 14.7094 Å; angles 90.00, 90.00, 120.00 degrees
Last column: nearest neighbours and their distance in Å.
Space group P6_3/mmc (No. 194)
One atom of each set of equivalent atoms:
1 Ba 0.0000 0.0000 0.2500 x2  12 O 2.98-3.00
2 Ba 0.3333 0.6667 0.0866 x4  12 O 2.97-3.07
3 Zn 0.0000 0.0000 0.0000 x2  6 O 2.14
4 Sb 0.3333 0.6667 0.6521 x4  6 O 1.96-2.10
5 O 0.0368 0.5184 0.7500 x6  2 Sb 2.10
6 O 0.1693 0.3386 0.5843 x12  1 Sb 1.96, 1 Zn 2.14

## Properties
crystal system: hexagonal

(5)
Computed, not measured: Ba2ZnSbO after structural relaxation at the PBE-GGA level of DFT.

Cell lengths 5.5533, 5.5533, 4.6527 Å; angles 90.00, 90.00, 90.00 degrees
Last column: nearest neighbours and their distance in Å.
Space group P4/mmm (No. 123)
One atom of each set of equivalent atoms:
1 Ba 0.0000 0.5000 0.0000 x2  2 O 2.78
2 Zn 0.0000 0.0000 0.5000 x1  2 O 2.33
3 Sb 0.5000 0.5000 0.5000 x1  8 Ba 3.62, 4 Zn 3.93
4 O 0.0000 0.0000 0.0000 x1  2 Zn 2.33

## Properties
crystal system: tetragonal

(6)
Computed, not measured: Ba2Zn2SbO6 after structural relaxation at the PBE-GGA level of DFT.

Cell lengths 6.0741, 6.0741, 16.7088 Å; angles 90.00, 90.00, 120.00 degrees
Last column: nearest neighbours and their distance in Å.
Space group R-3m (No. 166, hexagonal axes)
One atom of each set of equivalent atoms:
1 Ba 0.0000 0.0000 0.2188 x6  9 O 2.84-3.10
2 Zn 0.0000 0.0000 0.4246 x6  3 O 1.92
3 Sb 0.0000 0.0000 0.0000 x3  6 O 2.06
4 O 0.0301 0.5151 0.7451 x18  1 Zn 1.92, 1 Sb 2.06

## Properties
crystal system: trigonal

(7)
Computed, not measured: Ba3ZnSb2O6 after structural relaxation at the PBE-GGA level of DFT.

Cell lengths 5.9317, 5.9317, 7.0803 Å; angles 90.00, 90.00, 120.00 degrees
Last column: nearest neighbours and their distance in Å.
Space group P-3m1 (No. 164)
One atom of each set of equivalent atoms:
1 Ba 0.0000 0.0000 0.0000 x1  6 O 2.85
2 Ba 0.3333 0.6667 0.6409 x2  9 O 2.84-2.98
3 Zn 0.0000 0.0000 0.5000 x1  6 O 2.18
4 Sb 0.3333 0.6667 0.1512 x2  3 O 2.04
5 O 0.1708 0.3416 0.3171 x6  1 Sb 2.04, 1 Zn 2.18

## Properties
crystal system: trigonal

(8)
Computed, not measured: Ba3Zn2SbO6 after structural relaxation at the PBE-GGA level of DFT.

Cell lengths 5.9352, 5.9352, 7.0930 Å; angles 90.00, 90.00, 120.00 degrees
Last column: nearest neighbours and their distance in Å.
Space group P-3m1 (No. 164)
One atom of each set of equivalent atoms:
1 Ba 0.0000 0.0000 0.0000 x1  6 O 2.87
2 Ba 0.3333 0.6667 0.6449 x2  9 O 2.85-2.97
3 Zn 0.3333 0.6667 0.1721 x2  3 O 2.10
4 Sb 0.0000 0.0000 0.5000 x1  6 O 2.04
5 O 0.1607 0.3214 0.3310 x6  1 Sb 2.04, 1 Zn 2.10

## Properties
crystal system: trigonal

Total energy values (in eV/atom) by entry order: -4.996; -7.079; -6.449; -6.066; -4.024; -5.459; -5.604; -5.351.
N(E_F) values (in states/eV/cell) by entry order: 24.8; 0.0; 6.1; 0.0; 1.5; 3.1; 3.1; 3.2.